Computed, not measured: HoEr2PuS4 after structural relaxation at the PBE-GGA level of DFT. Values from VASP.

Cell and atoms, written as Quantum ESPRESSO input:
```
&SYSTEM
  ibrav = 0, nat = 8, ntyp = 4
/
ATOMIC_SPECIES
Ho 164.93 Ho.upf
S 32.06 S.upf
Pu 244.00 Pu.upf
Er 167.26 Er.upf
ATOMIC_POSITIONS angstrom
Ho 0.000 0.000 0.000
S 1.939 3.319 4.819
S 1.939 1.082 1.639
S 0.000 -0.087 4.743
S 0.000 4.488 1.715
Pu 1.939 3.371 0.065
Er 0.000 2.200 3.229
Er 1.939 -1.171 3.164
CELL_PARAMETERS angstrom
3.877 0.000 0.000
0.000 6.743 0.130
0.000 -2.342 6.327
```

energy	-7.5071	eV per atom
formation energy (no corrections)	-1.939	eV/atom
crystal system	monoclinic
magnetic moment	5.827	μB per formula unit
D(E_F)	7.15	states/eV/f.u.